No. 1
Compound: Ca2IrO
Source: the Alexandria database
Functional: PBE-GGA
Structure: relaxed

Output
* N(E_F): 1.97 states/eV/f.u.
* space group: I-42d, No. 122
* uncorrected energy: -43.4 eV/cell
* raw formation energy: -968 meV/atom

a = 6.640 Å, b = 6.640 Å, c = 6.109 Å
α = 57.08°, β = 57.08°, γ = 90.00°
Each line ends with the local moment (μB).
Element x y z (fractional)
Ca 0.541 0.125 0.250  0.00
Ir 0.000 0.000 0.000  0.95
O 0.250 0.750 0.500  0.02
O 0.500 0.500 0.000  0.02
Ca 0.209 0.625 0.250  0.00
Ca 0.875 0.791 0.750  0.00
Ir 0.750 0.250 0.500  0.96
Ca 0.375 0.459 0.750  -0.01

No. 2
Compound: CaIrO2
Source: the Alexandria database
Functional: PBE-GGA
Structure: relaxed

Output
* N(E_F): 1.31 states/eV/f.u.
* space group: R-3m, No. 166
* uncorrected energy: -26.4 eV/cell
* relative energy among the computed polymorphs: 0.000 eV/f.u.
* raw formation energy: -1398 meV/atom

a = 6.553 Å, b = 6.553 Å, c = 6.553 Å
α = 29.20°, β = 29.20°, γ = 29.20°
Each line ends with the local moment (μB).
Element x y z (fractional)
O 0.100 0.100 0.100  0.26
O 0.900 0.900 0.900  0.26
Ir 0.000 0.000 0.000  1.44
Ca 0.500 0.500 0.500  0.04

No. 3
Compound: Ca2IrO5
Source: the Alexandria database
Functional: PBE-GGA
Structure: relaxed

Output
* N(E_F): 7.30 states/eV/f.u.
* space group: P4/mmm, No. 123
* uncorrected energy: -50.6 eV/cell
* relative energy among the computed polymorphs: 1.413 eV/f.u.
* raw formation energy: -1614 meV/atom

a = 3.676 Å, b = 5.539 Å, c = 5.539 Å
α = 90.00°, β = 90.00°, γ = 90.00°
Element x y z (fractional)
Ir 0.000 0.000 0.000
O 0.500 0.000 0.000
Ca 0.500 0.000 0.500
Ca 0.500 0.500 0.000
O 0.000 0.751 0.249
O 0.000 0.249 0.249
O 0.000 0.249 0.751
O 0.000 0.751 0.751

No. 4
Compound: Ca3IrO
Source: the Alexandria database
Functional: PBE-GGA
Structure: relaxed

Output
* N(E_F): 2.21 states/eV/f.u.
* space group: Pm-3m, No. 221
* uncorrected energy: -26.0 eV/cell
* relative energy among the computed polymorphs: 0.000 eV/f.u.
* raw formation energy: -1227 meV/atom

a = 4.661 Å, b = 4.661 Å, c = 4.661 Å
α = 90.00°, β = 90.00°, γ = 90.00°
Element x y z (fractional)
Ca 0.500 0.000 0.000
Ca 0.000 0.000 0.500
O 0.000 0.000 0.000
Ca 0.000 0.500 0.000
Ir 0.500 0.500 0.500

No. 5
Compound: CaIrO2
Source: the Alexandria database
Functional: PBE-GGA
Structure: relaxed

Output
* N(E_F): 3.15 states/eV/f.u.
* space group: I-42d, No. 122
* uncorrected energy: -50.3 eV/cell
* relative energy among the computed polymorphs: 1.209 eV/f.u.
* raw formation energy: -1096 meV/atom

a = 4.420 Å, b = 4.420 Å, c = 6.830 Å
α = 71.12°, β = 71.12°, γ = 90.00°
Element x y z (fractional)
O 0.875 0.936 0.750
O 0.686 0.125 0.250
Ca 0.500 0.500 0.000
Ir 0.750 0.250 0.500
O 0.375 0.314 0.750
Ir 0.000 0.000 0.000
Ca 0.250 0.750 0.500
O 0.064 0.625 0.250

No. 6
Compound: CaIr2O
Source: the Alexandria database
Functional: PBE-GGA
Structure: relaxed

Output
* N(E_F): 3.45 states/eV/f.u.
* space group: I4_1/amd, No. 141
* uncorrected energy: -50.6 eV/cell
* raw formation energy: -160 meV/atom

a = 4.991 Å, b = 4.991 Å, c = 7.333 Å
α = 70.10°, β = 70.10°, γ = 90.00°
Element x y z (fractional)
O 0.500 0.500 0.000
Ca 0.000 0.000 0.000
Ir 0.375 0.125 0.250
Ir 0.875 0.625 0.750
Ir 0.375 0.625 0.750
Ca 0.750 0.250 0.500
O 0.250 0.750 0.500
Ir 0.375 0.625 0.250

No. 7
Compound: CaIr2O8
Source: the Alexandria database
Functional: PBE-GGA
Structure: relaxed

Output
* N(E_F): 4.90 states/eV/f.u.
* space group: C2/m, No. 12
* uncorrected energy: -68.5 eV/cell
* raw formation energy: -827 meV/atom

a = 3.723 Å, b = 6.525 Å, c = 6.525 Å
α = 123.86°, β = 90.32°, γ = 90.32°
Each line ends with the local moment (μB).
Element x y z (fractional)
O 0.994 0.911 0.640  0.01
O 0.994 0.640 0.911  0.01
O 0.500 0.739 0.261  -0.02
O 0.006 0.360 0.089  0.01
O 0.452 0.596 0.596  0.69
O 0.548 0.404 0.404  0.69
O 0.500 0.261 0.739  -0.02
O 0.006 0.089 0.360  0.01
Ir 0.000 0.259 0.741  -0.08
Ir 0.000 0.741 0.259  -0.08
Ca 0.500 0.000 0.000  0.00

No. 8
Compound: Ca4Ir6O19
Source: the Alexandria database
Functional: PBE-GGA
Structure: relaxed

Output
* N(E_F): 13.35 states/eV/f.u.
* space group: I23, No. 197
* uncorrected energy: -195.2 eV/cell
* raw formation energy: -1373 meV/atom

a = 7.929 Å, b = 7.929 Å, c = 7.929 Å
α = 109.47°, β = 109.47°, γ = 109.47°
Element x y z (fractional)
O 0.332 0.296 0.610
Ca 0.000 0.715 0.000
O 0.313 0.704 0.035
O 0.722 0.390 0.687
O 0.035 0.313 0.704
O 0.687 0.722 0.390
O 0.358 0.000 0.358
O 0.358 0.358 0.000
Ca 0.715 0.000 0.000
O 0.390 0.687 0.722
Ir 0.500 0.164 0.664
Ir 0.836 0.336 0.500
Ir 0.336 0.500 0.836
O 0.965 0.668 0.278
Ir 0.500 0.836 0.336
O 0.704 0.035 0.313
O 0.296 0.610 0.332
Ir 0.164 0.664 0.500
O 0.278 0.965 0.668
Ca 0.285 0.285 0.285
O 0.000 0.000 0.000
O 0.000 0.642 0.642
O 0.642 0.000 0.642
O 0.668 0.278 0.965
O 0.000 0.358 0.358
Ca 0.000 0.000 0.715
Ir 0.664 0.500 0.164
O 0.642 0.642 0.000
O 0.610 0.332 0.296

No. 9
Compound: Ca5IrO8
Source: the Alexandria database
Functional: PBE-GGA
Structure: relaxed

Output
* N(E_F): 2.54 states/eV/f.u.
* space group: I-4, No. 82
* uncorrected energy: -88.0 eV/cell
* raw formation energy: -2104 meV/atom

a = 6.242 Å, b = 6.242 Å, c = 6.242 Å
α = 111.55°, β = 105.38°, γ = 111.55°
Each line ends with the local moment (μB).
Element x y z (fractional)
O 0.678 0.399 0.889  0.12
O 0.024 0.199 0.757  0.19
O 0.111 0.789 0.510  0.12
O 0.175 0.732 0.976  0.19
Ca 0.388 0.150 0.982  0.00
Ca 0.763 0.594 0.612  0.00
Ca 0.018 0.406 0.168  0.00
Ir 0.250 0.500 0.750  1.44
O 0.721 0.211 0.322  0.12
O 0.558 0.801 0.825  0.19
O 0.490 0.601 0.279  0.12
Ca 0.500 0.000 0.500  0.01
O 0.243 0.268 0.442  0.19
Ca 0.832 0.850 0.237  0.00

No. 10
Compound: Ca2IrO6
Source: the Alexandria database
Functional: PBE-GGA
Structure: relaxed

Output
* N(E_F): 4.38 states/eV/f.u.
* space group: P2_1/c, No. 14
* uncorrected energy: -113.7 eV/cell
* relative energy among the computed polymorphs: 0.000 eV/f.u.
* raw formation energy: -1582 meV/atom

a = 5.537 Å, b = 5.929 Å, c = 7.878 Å
α = 90.00°, β = 97.02°, γ = 90.00°
Each line ends with the local moment (μB).
Element x y z (fractional)
O 0.371 0.761 0.090  -0.02
O 0.659 0.427 0.219  0.12
O 0.841 0.927 0.281  0.12
O 0.341 0.573 0.781  0.12
O 0.629 0.239 0.910  -0.02
Ca 0.543 0.910 0.733  0.01
Ca 0.957 0.410 0.767  0.01
O 0.129 0.261 0.410  -0.02
Ca 0.457 0.090 0.267  0.01
Ir 0.000 0.000 0.500  0.47
O 0.219 0.335 0.050  0.09
O 0.281 0.835 0.450  0.09
O 0.719 0.165 0.550  0.09
O 0.159 0.073 0.719  0.12
Ir 0.500 0.500 0.000  0.47
Ca 0.043 0.590 0.233  0.01
O 0.871 0.739 0.590  -0.02
O 0.781 0.665 0.950  0.09

No. 11
Compound: Ca2IrOsO8
Source: the Alexandria database
Functional: PBE-GGA
Structure: relaxed

Output
* N(E_F): 7.69 states/eV/f.u.
* space group: P2/m, No. 10
* uncorrected energy: -82.4 eV/cell
* raw formation energy: -1550 meV/atom

a = 5.009 Å, b = 5.001 Å, c = 6.448 Å
α = 90.00°, β = 90.00°, γ = 91.24°
Each line ends with the local moment (μB).
Element x y z (fractional)
O 0.170 0.828 0.244  0.00
O 0.261 0.260 0.000  0.03
O 0.266 0.265 0.500  0.22
Ir 0.000 0.000 0.500  0.70
Ca 0.500 0.500 0.749  0.01
O 0.830 0.172 0.756  0.00
O 0.739 0.740 0.000  0.03
Os 0.000 0.000 0.000  0.05
O 0.734 0.735 0.500  0.22
O 0.830 0.172 0.244  0.00
O 0.170 0.828 0.756  0.00
Ca 0.500 0.500 0.251  0.01

No. 12
Compound: CaP2IrO8
Source: the Alexandria database
Functional: PBE-GGA
Structure: relaxed

Output
* N(E_F): 4.48 states/eV/f.u.
* space group: P-3m1, No. 164
* uncorrected energy: -84.4 eV/cell
* raw formation energy: -1924 meV/atom

a = 5.145 Å, b = 5.145 Å, c = 6.802 Å
α = 90.00°, β = 90.00°, γ = 120.00°
Each line ends with the local moment (μB).
Element x y z (fractional)
O 0.666 0.833 0.804  0.05
P 0.667 0.333 0.266  -0.01
O 0.833 0.666 0.196  0.05
O 0.667 0.333 0.488  0.01
O 0.333 0.667 0.512  0.01
O 0.334 0.167 0.196  0.05
P 0.333 0.667 0.734  -0.01
O 0.833 0.167 0.196  0.05
O 0.167 0.833 0.804  0.05
Ca 0.000 0.000 0.500  0.00
O 0.167 0.334 0.804  0.05
Ir 0.000 0.000 0.000  0.57

No. 13
Compound: CaIr2PbO8
Source: the Alexandria database
Functional: PBE-GGA
Structure: relaxed

Output
* N(E_F): 8.61 states/eV/f.u.
* space group: P-3, No. 147
* uncorrected energy: -71.9 eV/cell
* raw formation energy: -731 meV/atom

a = 5.624 Å, b = 5.624 Å, c = 6.298 Å
α = 90.00°, β = 90.00°, γ = 120.00°
Element x y z (fractional)
Ir 0.333 0.667 0.949
O 0.940 0.609 0.855
O 0.391 0.331 0.855
O 0.669 0.060 0.855
O 0.333 0.667 0.655
Pb 0.000 0.000 0.500
Ir 0.667 0.333 0.051
Ca 0.000 0.000 0.000
O 0.060 0.391 0.145
O 0.667 0.333 0.345
O 0.331 0.940 0.145
O 0.609 0.669 0.145

No. 14
Compound: Ca2IrPbO8
Source: the Alexandria database
Functional: PBE-GGA
Structure: relaxed

Output
* N(E_F): 3.32 states/eV/f.u.
* space group: P2/m, No. 10
* uncorrected energy: -72.6 eV/cell
* raw formation energy: -1366 meV/atom

a = 5.065 Å, b = 5.054 Å, c = 6.856 Å
α = 90.00°, β = 90.00°, γ = 92.79°
Each line ends with the local moment (μB).
Element x y z (fractional)
O 0.266 0.264 0.000  -0.06
O 0.823 0.179 0.206  0.08
Pb 0.000 0.000 0.500  0.02
O 0.708 0.710 0.500  0.07
O 0.734 0.736 0.000  -0.06
Ca 0.500 0.500 0.247  0.00
O 0.177 0.821 0.206  0.08
Ca 0.500 0.500 0.753  0.00
Ir 0.000 0.000 0.000  0.26
O 0.177 0.821 0.794  0.08
O 0.823 0.179 0.794  0.08
O 0.292 0.290 0.500  0.07

No. 15
Compound: CaIrPb2O8
Source: the Alexandria database
Functional: PBE-GGA
Structure: relaxed

Output
* N(E_F): 4.39 states/eV/f.u.
* space group: P2/m, No. 10
* uncorrected energy: -70.9 eV/cell
* raw formation energy: -1084 meV/atom

a = 5.050 Å, b = 4.971 Å, c = 6.774 Å
α = 90.00°, β = 90.00°, γ = 89.78°
Each line ends with the local moment (μB).
Element x y z (fractional)
O 0.299 0.266 0.000  0.04
O 0.830 0.199 0.791  0.20
Pb 0.500 0.500 0.249  0.00
Pb 0.500 0.500 0.751  0.00
Ca 0.000 0.000 0.500  0.01
O 0.170 0.801 0.209  0.20
Ir 0.000 0.000 0.000  1.05
O 0.701 0.734 0.000  0.04
O 0.328 0.295 0.500  0.02
O 0.170 0.801 0.791  0.20
O 0.672 0.705 0.500  0.02
O 0.830 0.199 0.209  0.20

No. 16
Compound: CaPm2IrO8
Source: the Alexandria database
Functional: PBE-GGA
Structure: relaxed

Output
* N(E_F): 4.10 states/eV/f.u.
* space group: P2/m, No. 10
* uncorrected energy: -84.4 eV/cell
* raw formation energy: -2032 meV/atom

a = 5.133 Å, b = 5.126 Å, c = 7.056 Å
α = 90.00°, β = 89.99°, γ = 90.69°
Each line ends with the local moment (μB).
Element x y z (fractional)
O 0.178 0.819 0.196  0.10
O 0.691 0.693 0.500  0.00
O 0.179 0.819 0.805  0.10
O 0.309 0.307 0.500  0.00
O 0.822 0.181 0.804  0.10
Ir 0.000 0.000 0.000  0.46
O 0.736 0.738 0.000  -0.04
Pm 0.500 0.500 0.254  0.01
Ca 0.000 0.000 0.500  0.01
Pm 0.500 0.500 0.746  0.01
O 0.821 0.181 0.195  0.10
O 0.264 0.262 0.000  -0.04

No. 17
Compound: Ca2PmIrO6
Source: the Alexandria database
Functional: PBE-GGA
Structure: relaxed

Output
* N(E_F): 3.52 states/eV/f.u.
* space group: P2_1/c, No. 14
* uncorrected energy: -140.6 eV/cell
* raw formation energy: -2294 meV/atom

a = 5.666 Å, b = 5.900 Å, c = 8.163 Å
α = 90.00°, β = 90.89°, γ = 90.00°
Each line ends with the local moment (μB).
Element x y z (fractional)
O 0.618 0.051 0.273  0.10
O 0.217 0.183 0.441  0.11
Ir 0.000 0.500 0.000  1.15
O 0.783 0.817 0.559  0.11
O 0.826 0.780 0.932  0.11
Ca 0.481 0.443 0.249  0.01
O 0.674 0.280 0.568  0.11
O 0.283 0.683 0.059  0.11
Pm 0.500 0.000 0.000  0.00
O 0.326 0.720 0.432  0.11
Ca 0.019 0.943 0.251  0.01
Ir 0.500 0.000 0.500  1.15
Ca 0.981 0.057 0.749  0.01
Pm 0.000 0.500 0.500  0.00
O 0.382 0.949 0.727  0.10
Ca 0.519 0.557 0.751  0.01
O 0.717 0.317 0.941  0.11
O 0.882 0.551 0.227  0.10
O 0.118 0.449 0.773  0.10
O 0.174 0.220 0.068  0.11

No. 18
Compound: CaPmIrO6
Source: the Alexandria database
Functional: PBE-GGA
Structure: relaxed

Output
* N(E_F): 4.32 states/eV/f.u.
* space group: P-31c, No. 163
* uncorrected energy: -124.2 eV/cell
* raw formation energy: -1857 meV/atom

a = 5.676 Å, b = 5.676 Å, c = 9.349 Å
α = 90.00°, β = 90.00°, γ = 120.00°
Each line ends with the local moment (μB).
Element x y z (fractional)
O 0.054 0.384 0.634  0.12
Ir 0.333 0.667 0.750  0.98
Pm 0.667 0.333 0.750  0.03
Ir 0.667 0.333 0.250  0.98
O 0.384 0.054 0.134  0.12
O 0.054 0.670 0.866  0.12
O 0.670 0.616 0.134  0.12
O 0.616 0.946 0.866  0.12
O 0.616 0.670 0.634  0.12
O 0.330 0.384 0.866  0.12
O 0.384 0.330 0.366  0.12
O 0.670 0.054 0.366  0.12
O 0.946 0.330 0.134  0.12
Ca 0.000 0.000 0.500  0.01
O 0.946 0.616 0.366  0.12
Pm 0.333 0.667 0.250  0.03
O 0.330 0.946 0.634  0.12
Ca 0.000 0.000 0.000  0.01

No. 19
Compound: Ca2PrIrO6
Source: the Alexandria database
Functional: PBE-GGA
Structure: relaxed

Output
* N(E_F): 3.61 states/eV/f.u.
* space group: P2_1/c, No. 14
* uncorrected energy: -139.9 eV/cell
* raw formation energy: -2255 meV/atom

a = 5.695 Å, b = 5.941 Å, c = 8.220 Å
α = 90.00°, β = 90.99°, γ = 90.00°
Each line ends with the local moment (μB).
Element x y z (fractional)
Ca 0.520 0.556 0.752  0.01
O 0.718 0.320 0.940  0.11
O 0.877 0.557 0.224  0.10
O 0.282 0.680 0.060  0.11
O 0.623 0.057 0.276  0.10
Ir 0.500 0.000 0.500  1.16
Ca 0.980 0.056 0.748  0.01
O 0.123 0.443 0.776  0.10
Pr 0.500 0.000 0.000  0.00
Ir 0.000 0.500 0.000  1.16
Ca 0.020 0.944 0.252  0.01
Ca 0.480 0.444 0.248  0.01
O 0.782 0.820 0.560  0.11
O 0.218 0.180 0.440  0.11
O 0.830 0.778 0.928  0.11
O 0.170 0.222 0.072  0.11
O 0.377 0.943 0.724  0.10
O 0.670 0.278 0.572  0.11
Pr 0.000 0.500 0.500  0.00
O 0.330 0.722 0.428  0.11